Density functional theory data (PBE-GGA) for a relaxed Nd2ScCuS5 crystal.

Lattice parameters (Å, degrees): 3.865 8.525 11.508 90.00 90.00 103.10
Sites, in units of the cell vectors:
1 Nd 0.110 0.220 0.688
2 S 0.713 0.425 0.165
3 Sc 0.194 0.388 0.012
4 S 0.498 0.997 0.779
5 Cu 0.437 0.874 0.453
6 S 0.353 0.706 0.003
7 Cu 0.563 0.126 0.953
8 S 0.048 0.096 0.059
9 S 0.952 0.904 0.559
10 Nd 0.126 0.252 0.310
11 S 0.691 0.382 0.856
12 S 0.647 0.294 0.503
13 Nd 0.890 0.780 0.188
14 Sc 0.806 0.612 0.512
15 Nd 0.874 0.748 0.810
16 S 0.502 0.003 0.279
17 S 0.287 0.575 0.665
18 S 0.309 0.618 0.356

Summary:
raw formation energy	-1.727	eV per atom
total moment	0.00	μB/atom
space group	Cmc2_1


Density functional theory data (PBE-GGA) for a relaxed Nd8CuSe4S3 crystal.

Lattice parameters (Å, degrees): 8.284 8.383 8.284 119.61 120.00 90.00
Sites, in units of the cell vectors:
1 S 0.500 0.500 0.000
2 Se 0.500 0.000 0.500
3 Se 0.000 0.000 0.000
4 S 0.500 0.500 0.500
5 Nd 0.257 0.270 0.513
6 Cu 0.000 0.500 0.000
7 Nd 0.246 0.736 0.493
8 Nd 0.256 0.264 0.010
9 Se 0.500 0.000 0.000
10 Nd 0.743 0.730 0.487
11 Nd 0.754 0.264 0.010
12 Nd 0.754 0.264 0.507
13 Nd 0.246 0.736 0.990
14 S 0.000 0.500 0.500
15 Nd 0.744 0.736 0.990
16 Se 0.000 0.000 0.500

Summary:
raw formation energy	-1.709	eV per atom
total moment	0.00	μB/atom
space group	R-3m


Density functional theory data (PBE-GGA) for a relaxed Nd6CuSe3S2 crystal.

Lattice parameters (Å, degrees): 7.199 7.199 7.267 99.53 99.53 119.96
Sites, in units of the cell vectors:
1 Se 0.833 0.167 0.500
2 Nd 0.743 0.743 0.238
3 Nd 0.078 0.415 0.238
4 Nd 0.922 0.585 0.762
5 Nd 0.257 0.257 0.762
6 Nd 0.585 0.922 0.762
7 Nd 0.415 0.078 0.238
8 Se 0.500 0.500 0.500
9 Se 0.167 0.833 0.500
10 S 0.666 0.334 0.000
11 S 0.334 0.666 0.000
12 Cu 0.000 0.000 0.000

Summary:
raw formation energy	-1.633	eV per atom
total moment	0.00	μB/atom
space group	C2/m